Nb2MoO6 GGA+U relaxed; total energy = -8.551 eV per atom; symmetry = No. 162
1.0
5.260 0.000 0.000
-2.630 4.555 0.000
0.000 0.000 4.687
Nb Mo O
2 1 6
Cartesian
0.000 3.037 0.000
2.630 1.518 0.000
0.000 0.000 2.343
-0.901 1.561 1.098
-1.728 2.994 3.588
1.803 0.000 1.098
0.901 1.561 3.588
3.457 0.000 3.588
1.728 2.994 1.098